[1]
Below is crystalline Cu4PdPt4 at its relaxed geometry, with properties calculated at the PBE level.

Cell: 6.0418 6.0418 6.0418 Å, 96.00 96.00 142.27°
Closest atoms and distances in Å follow each position.
Sites, in units of the cell vectors:
Cu (0.0000, 0.3391, 0.3391)  5 Cu 2.60-2.68, 6 Pt 2.67-2.75, 1 Pd 2.74
Cu (0.0000, 0.6609, 0.6609)  5 Cu 2.60-2.68, 6 Pt 2.67-2.75, 1 Pd 2.74
Cu (0.3391, 0.0000, 0.3391)  5 Cu 2.60-2.68, 6 Pt 2.67-2.75, 1 Pd 2.74
Cu (0.6609, 0.0000, 0.6609)  5 Cu 2.60-2.68, 6 Pt 2.67-2.75, 1 Pd 2.74
Pd (0.0000, 0.0000, 0.0000)  4 Cu 2.74, 8 Pt 2.76
Pt (0.3299, 0.3299, 0.6598)  6 Cu 2.67-2.75, 4 Pt 2.67-2.75, 2 Pd 2.76
Pt (0.3299, 0.6701, 0.0000)  6 Cu 2.67-2.75, 4 Pt 2.67-2.75, 2 Pd 2.76
Pt (0.6701, 0.3299, 0.0000)  6 Cu 2.67-2.75, 4 Pt 2.67-2.75, 2 Pd 2.76
Pt (0.6701, 0.6701, 0.3402)  6 Cu 2.67-2.75, 4 Pt 2.67-2.75, 2 Pd 2.76

ΔE to the lowest computed polymorph = 0.0 meV per atom

[2]
Below is crystalline CuPd6Pt4 at its relaxed geometry, with properties calculated at the PBE level.

Cell: 6.5958 6.5958 6.5958 Å, 117.32 117.32 94.71°
Closest atoms and distances in Å follow each position.
Sites, in units of the cell vectors:
Cu (0.0000, 0.0000, 0.0000)  4 Pd 2.65
Pd (0.0000, 0.5000, 0.5000)  4 Pt 2.58
Pd (0.1173, 0.1173, 0.7232)  4 Pt 2.51-2.74, 1 Cu 2.65, 1 Pd 2.69
Pd (0.3941, 0.3941, 0.2768)  4 Pt 2.51-2.74, 1 Cu 2.65, 1 Pd 2.69
Pd (0.5000, 0.0000, 0.5000)  4 Pt 2.58
Pd (0.6059, 0.8827, 0.0000)  4 Pt 2.51-2.74, 1 Cu 2.65, 1 Pd 2.69
Pd (0.8827, 0.6059, 0.0000)  4 Pt 2.51-2.74, 1 Cu 2.65, 1 Pd 2.69
Pt (0.2645, 0.6174, 0.0000)  6 Pd 2.51-2.74, 2 Pt 2.64
Pt (0.3826, 0.3826, 0.6470)  6 Pd 2.51-2.74, 2 Pt 2.64
Pt (0.6174, 0.2645, 0.0000)  6 Pd 2.51-2.74, 2 Pt 2.64
Pt (0.7355, 0.7355, 0.3530)  6 Pd 2.51-2.74, 2 Pt 2.64

[3]
Below is crystalline Cu3PdPt7 at its relaxed geometry, with properties calculated at the PBE level.

Cell: 5.4640 5.4640 6.6394 Å, 90.00 90.00 120.00°
Closest atoms and distances in Å follow each position.
Sites, in units of the cell vectors:
Cu (0.0008, 0.5004, 0.0000)  5 Pt 2.63, 1 Pd 2.63, 4 Cu 2.73-2.74
Cu (0.4996, 0.5004, 0.0000)  5 Pt 2.63, 1 Pd 2.63, 4 Cu 2.73-2.74
Cu (0.4996, 0.9992, 0.0000)  5 Pt 2.63, 1 Pd 2.63, 4 Cu 2.73-2.74
Pd (0.6667, 0.3333, 0.3160)  3 Cu 2.63, 9 Pt 2.73-2.91
Pt (0.1655, 0.3310, 0.3158)  2 Cu 2.63, 7 Pt 2.71-2.90, 2 Pd 2.73
Pt (0.1655, 0.8345, 0.3158)  2 Cu 2.63, 7 Pt 2.71-2.90, 2 Pd 2.73
Pt (0.3313, 0.1656, 0.6835)  2 Cu 2.63, 8 Pt 2.72-2.90, 1 Pd 2.91
Pt (0.3333, 0.6667, 0.6821)  3 Cu 2.63, 9 Pt 2.73-2.90
Pt (0.6690, 0.8345, 0.3158)  2 Cu 2.63, 7 Pt 2.71-2.90, 2 Pd 2.73
Pt (0.8344, 0.1656, 0.6835)  2 Cu 2.63, 8 Pt 2.72-2.90, 1 Pd 2.91
Pt (0.8344, 0.6687, 0.6835)  2 Cu 2.63, 8 Pt 2.72-2.90, 1 Pd 2.91

no.,calculated density (g/cm3),DFT formation energy (kcal/mol of atoms),V (A^3/atom)
1,14.836,-2.45,14.19
2,11.702,11.80,19.12
3,16.083,-0.10,15.61